# 1
VASP calculation (meta-GGA SCAN) on a crystal of KCdPb2F relaxed with PBEsol.

a b c (Å): 5.9327 6.1207 6.1207
angles (deg): 90.00 90.00 90.00
Element x y z (fractional)
Pb 0.0000 0.0000 0.5000
Pb 0.0000 0.5000 0.0000
Cd 0.5000 0.0000 0.0000
F 0.5000 0.5000 0.5000
K 0.0000 0.0000 0.0000

Calculated values
Formation energy from raw total energies (meV per atom): 701
Symmetry: No. 123
Uncorrected energy (eV per atom): -38.068
Volume (Å³ per cell): 222.3

# 2
VASP calculation (meta-GGA SCAN) on a crystal of HfN2O2 relaxed with PBEsol.

a b c (Å): 4.0133 4.2736 4.2736
angles (deg): 90.00 90.00 90.00
Last column: magnetic moment on the atom in μB.
Element x y z (fractional)
O 0.5000 0.0000 0.0000  0.42
O 0.5000 0.5000 0.5000  1.59
N 0.0000 0.0000 0.5000  1.28
N 0.0000 0.5000 0.0000  1.28
Hf 0.0000 0.0000 0.0000  -0.07

Calculated values
Formation energy from raw total energies (meV per atom): 340
Symmetry: No. 123
Uncorrected energy (eV per atom): -18.403
Volume (Å³ per cell): 73.3

Which of these has the lowest uncorrected energy? KCdPb2F

Among the records above, which one has the lowest volume? HfN2O2

Please write out number 1 again, unchanged.
VASP calculation (meta-GGA SCAN) on a crystal of KCdPb2F relaxed with PBEsol.

a b c (Å): 5.9327 6.1207 6.1207
angles (deg): 90.00 90.00 90.00
Element x y z (fractional)
Pb 0.0000 0.0000 0.5000
Pb 0.0000 0.5000 0.0000
Cd 0.5000 0.0000 0.0000
F 0.5000 0.5000 0.5000
K 0.0000 0.0000 0.0000

Calculated values
Formation energy from raw total energies (meV per atom): 701
Symmetry: No. 123
Uncorrected energy (eV per atom): -38.068
Volume (Å³ per cell): 222.3